Run w
A relaxed structure of Nd7Dy3Sc. Source: Alexandria, functional GGA-PBE.

Output
total magnetization: 0.00 μB/cell
N(E_F): 14.2 states/eV/f.u.

a b c (Å): 8.5549 8.5549 5.8439
angles (deg): 109.95 109.95 83.53
Element x y z (fractional)
Nd 0.0000 0.0000 0.0000
Nd 0.0975 0.5233 0.3105
Nd 0.2857 0.2857 0.7868
Nd 0.4767 0.9025 0.6895
Nd 0.5233 0.0975 0.3105
Nd 0.7143 0.7143 0.2132
Nd 0.9025 0.4767 0.6895
Dy 0.2969 0.7031 0.0000
Dy 0.5000 0.5000 0.5000
Dy 0.7031 0.2969 0.0000
Sc 0.0000 0.0000 0.5000



Run x
A relaxed structure of Nd7Dy3Sc. Source: Alexandria, functional GGA-PBE.

Output
total magnetization: 0.00 μB/cell
N(E_F): 14.3 states/eV/f.u.

a b c (Å): 6.5672 9.9072 12.2139
angles (deg): 99.94 104.45 102.97
Element x y z (fractional)
Nd 0.0000 0.0000 0.0000
Nd 0.0152 0.3978 0.5317
Nd 0.1565 0.8408 0.2077
Nd 0.2400 0.3722 0.8201
Nd 0.2692 0.5211 0.2114
Nd 0.3542 0.0533 0.8208
Nd 0.4957 0.2465 0.1333
Nd 0.4997 0.5001 0.5001
Nd 0.5154 0.8979 0.0318
Nd 0.6571 0.3407 0.7076
Nd 0.7396 0.8724 0.3202
Nd 0.7697 0.0208 0.7113
Nd 0.8536 0.5535 0.3210
Nd 0.9962 0.7462 0.6337
Dy 0.0250 0.6485 0.9006
Dy 0.1337 0.0906 0.5461
Dy 0.3717 0.8100 0.4830
Dy 0.5243 0.1487 0.4002
Dy 0.6336 0.5906 0.0462
Dy 0.8719 0.3099 0.9829
Sc 0.0091 0.1972 0.2679
Sc 0.5097 0.6972 0.7682



Stability summary - winner: run x; margin: 0.135 eV/atom.